*1*
Here is a relaxed structure of SmCrTeO6 from the Alexandria database. Energies are from GGA+U.

```
SmCrTeO6
1.0
2.607 -4.515 0.000
2.607 4.515 0.000
0.000 0.000 10.079
O Sm Te Cr
12 2 2 2
Cartesian
1.695 2.847 6.469
4.225 1.624 6.469
3.519 2.847 8.650
4.225 -1.624 1.430
0.989 -1.624 3.610
1.901 0.044 6.469
0.989 1.624 8.650
3.519 -2.847 3.610
3.313 -0.044 3.610
1.695 -2.847 1.430
3.313 0.044 8.650
1.901 -0.044 1.430
0.000 0.000 0.000
0.000 0.000 5.040
2.607 -1.505 2.520
2.607 1.505 7.559
2.607 -1.505 7.559
2.607 1.505 2.520
```

Summary:
For the spin magnetization, the calculation gives 0.3333 μB/atom. The value obtained for the theoretical density is 6.0 g cm⁻³. The space group is P-31c (163).

*2*
Here is a relaxed structure of SmCrTeO6 from the Alexandria database. Energies are from GGA+U.

```
SmCrTeO6
1.0
-4.003 3.043 -2.219
-1.131 -3.431 4.142
1.633 6.242 5.616
Te O Sm Cr
2 12 2 2
Cartesian
-1.821 5.567 4.113
-1.680 0.288 3.426
-1.673 0.036 5.380
-2.706 7.327 4.091
0.009 1.299 3.486
-2.078 5.392 6.059
-3.510 4.556 4.053
-0.795 -1.472 3.449
-1.423 0.463 1.481
-0.755 3.918 3.961
-0.049 6.391 4.358
-3.453 -0.536 3.182
-2.747 1.937 3.579
-1.828 5.819 2.160
-0.864 3.409 6.234
-2.638 2.446 1.306
0.816 3.121 2.808
0.000 0.000 0.000
```

Summary:
For the spin magnetization, the calculation gives 0.3322 μB/atom. The value obtained for the theoretical density is 6.3 g cm⁻³. The space group is P-31c (163).

Most stable to least stable: *1*, *2*

*1*
Here is a relaxed structure of Cr3SnO from the Alexandria database. Energies are from GGA+U.

```
Cr3SnO
1.0
5.259 0.000 0.000
0.000 5.259 0.000
0.000 0.000 5.259
Cr O Sn
3 1 1
Cartesian
2.630 0.000 0.000
0.000 0.000 2.630
0.000 2.630 0.000
2.630 2.630 2.630
0.000 0.000 0.000
```

Summary:
For the spin magnetization, the calculation gives 2.4000 μB/atom. The value obtained for the theoretical density is 3.3 g cm⁻³. The space group is Pm-3m (221).

*2*
Here is a relaxed structure of Cr3SnO from the Alexandria database. Energies are from GGA+U.

```
Cr3SnO
1.0
4.198 0.000 0.000
0.000 4.198 0.000
0.000 0.000 4.198
Cr O Sn
3 1 1
Cartesian
0.000 0.000 2.099
0.000 2.099 0.000
2.099 0.000 0.000
0.000 0.000 0.000
2.099 2.099 2.099
```

Summary:
For the spin magnetization, the calculation gives 0.0206 μB/atom. The value obtained for the theoretical density is 6.5 g cm⁻³. The space group is Pm-3m (221).

Most stable to least stable: *2*, *1*

*1*
Here is a relaxed structure of SrCr2O4 from the Alexandria database. Energies are from GGA+U.

```
SrCr2O4
1.0
-2.429 -1.975 -0.189
-0.693 1.321 -4.904
3.780 -4.650 -0.002
O Cr Sr
4 2 1
Cartesian
-0.225 -2.077 -1.428
0.884 -3.227 -3.667
2.413 -2.865 -1.087
0.674 -0.464 -3.819
1.544 -1.664 -2.453
0.675 -3.312 -0.095
-2.429 -1.975 -0.189
```

Summary:
For the spin magnetization, the calculation gives 0.8571 μB/atom. The value obtained for the theoretical density is 4.6 g cm⁻³. The space group is P2/m (10).

*2*
Here is a relaxed structure of SrCr2O4 from the Alexandria database. Energies are from GGA+U.

```
SrCr2O4
1.0
5.235 0.000 0.000
0.000 6.036 0.000
0.000 0.000 11.704
O Cr Sr
16 8 4
Cartesian
4.384 4.527 1.070
3.481 6.017 6.957
3.481 3.037 10.599
0.851 1.509 6.922
1.754 0.019 1.105
4.323 1.509 4.864
1.754 0.019 4.747
0.912 4.527 6.840
4.384 4.527 4.782
3.481 6.017 10.599
0.851 1.509 10.634
4.323 1.509 0.988
3.481 3.037 6.957
0.912 4.527 10.716
1.754 2.999 1.105
1.754 2.999 4.747
2.639 4.527 5.764
2.596 1.509 11.616
2.639 4.527 0.088
0.000 0.000 0.000
2.596 1.509 5.940
5.235 3.018 5.852
0.000 3.018 0.000
5.235 0.000 5.852
2.847 1.509 2.926
0.735 4.527 2.926
2.388 4.527 8.778
4.500 1.509 8.778
```

Summary:
For the spin magnetization, the calculation gives 0.8571 μB/atom. The value obtained for the theoretical density is 4.6 g cm⁻³. The space group is Pmmn (59).

Most stable to least stable: *2*, *1*

*1*
Here is a relaxed structure of Sr2CrWO6 from the Alexandria database. Energies are from GGA+U.

```
Sr2CrWO6
1.0
-5.586 -0.104 -0.770
3.145 -4.170 -2.127
2.078 -0.875 5.169
Sr Cr O W
2 1 6 1
Cartesian
0.086 -3.398 -0.688
-0.448 -1.751 2.960
2.612 -2.523 1.521
1.288 -1.244 0.750
-1.496 -1.321 0.378
3.936 -3.801 2.292
2.347 -1.704 3.334
1.134 -3.828 1.894
2.877 -3.341 -0.292
0.000 0.000 0.000
```

Summary:
For the spin magnetization, the calculation gives 0.4000 μB/atom. The value obtained for the theoretical density is 6.6 g cm⁻³. The space group is I4/mmm (139).

*2*
Here is a relaxed structure of Sr2CrWO6 from the Alexandria database. Energies are from GGA+U.

```
Sr2CrWO6
1.0
5.649 0.000 -0.019
0.000 5.636 0.000
0.023 0.000 8.028
O Sr Cr W
12 4 2 2
Cartesian
4.210 4.114 7.799
1.324 4.331 0.271
0.343 2.878 6.016
4.160 4.123 4.275
5.329 2.758 1.993
1.374 4.340 3.794
2.516 0.060 6.017
4.348 1.305 7.739
3.156 5.576 1.993
1.462 1.522 0.211
4.299 1.296 4.215
1.512 1.513 3.734
2.813 2.890 1.997
5.649 5.564 6.002
0.023 0.072 2.008
2.859 2.746 6.012
0.012 2.818 4.014
2.825 0.000 -0.009
0.000 2.818 0.000
2.836 0.000 4.005
```

Summary:
For the spin magnetization, the calculation gives 0.4000 μB/atom. The value obtained for the theoretical density is 6.6 g cm⁻³. The space group is P2_1/c (14).

Most stable to least stable: *2*, *1*

*1*
Here is a relaxed structure of TaCrO2 from the Alexandria database. Energies are from GGA+U.

```
TaCrO2
1.0
-2.201 5.858 -2.923
-3.408 6.001 -0.267
-0.640 6.845 -0.660
O Ta Cr
2 1 1
Cartesian
-5.626 16.840 -3.466
-0.623 1.863 -0.384
-3.124 9.352 -1.925
0.000 0.000 0.000
```

Summary:
For the spin magnetization, the calculation gives 1.0253 μB/atom. The value obtained for the theoretical density is 8.9 g cm⁻³. The space group is R-3m (166).

*2*
Here is a relaxed structure of TaCrO2 from the Alexandria database. Energies are from GGA+U.

```
TaCrO2
1.0
-3.889 -0.699 2.119
-1.908 -1.166 -3.886
-1.418 -6.402 0.031
O Ta Cr
4 2 2
Cartesian
-1.743 -2.365 -2.314
-6.278 -6.520 -1.813
-3.314 -2.235 1.005
-3.095 -5.413 -0.349
-4.103 -4.016 0.634
0.000 0.000 0.000
-2.899 -0.933 -0.883
-3.112 -4.250 -2.369
```

Summary:
For the spin magnetization, the calculation gives 0.9708 μB/atom. The value obtained for the theoretical density is 7.6 g cm⁻³. The space group is I-42d (122).

*3*
Here is a relaxed structure of TaCrO2 from the Alexandria database. Energies are from GGA+U.

```
TaCrO2
1.0
0.000 2.752 2.752
2.752 0.000 2.752
2.752 2.752 0.000
Cr O Ta
1 2 1
Cartesian
0.000 0.000 0.000
1.376 1.376 1.376
4.129 4.129 4.129
2.752 2.752 2.752
```

Summary:
For the spin magnetization, the calculation gives 0.7501 μB/atom. The value obtained for the theoretical density is 10.5 g cm⁻³. The space group is Fm-3m (225).

Most stable to least stable: *1*, *2*, *3*

*1*
Here is a relaxed structure of TbCrTeO6 from the Alexandria database. Energies are from GGA+U.

```
TbCrTeO6
1.0
1.319 1.439 -5.069
-3.025 -4.427 0.866
-7.136 4.778 -0.501
O Te Cr Tb
12 2 2 2
Cartesian
-7.301 2.324 -3.379
-3.671 3.773 -3.773
-5.934 4.194 -5.014
-2.908 -2.404 0.310
-1.541 -0.534 -1.324
-2.917 -2.712 -2.508
-5.926 4.502 -2.196
-3.926 -0.327 -2.864
-4.916 2.116 -1.839
-5.140 1.493 -4.595
-5.172 -1.983 -0.930
-3.702 0.297 -0.108
-3.361 -1.277 -1.237
-5.481 3.067 -3.466
0.000 0.000 0.000
-3.568 2.389 -0.250
-1.913 0.678 -3.216
-6.929 1.112 -1.488
```

Summary:
For the spin magnetization, the calculation gives 0.3326 μB/atom. The value obtained for the theoretical density is 6.6 g cm⁻³. The space group is P-31c (163).

*2*
Here is a relaxed structure of TbCrTeO6 from the Alexandria database. Energies are from GGA+U.

```
TbCrTeO6
1.0
2.597 -4.498 0.000
2.597 4.498 0.000
0.000 0.000 9.862
O Te Tb Cr
12 2 2 2
Cartesian
4.218 1.601 6.311
3.496 2.853 8.482
0.975 -1.601 3.551
1.874 -0.044 1.380
4.218 -1.601 1.380
1.874 0.044 6.311
3.319 -0.044 3.551
3.496 -2.853 3.551
3.319 0.044 8.482
0.975 1.601 8.482
1.698 2.853 6.311
1.698 -2.853 1.380
2.597 -1.499 2.465
2.597 1.499 7.396
0.000 0.000 4.931
0.000 0.000 0.000
2.597 -1.499 7.396
2.597 1.499 2.465
```

Summary:
For the spin magnetization, the calculation gives 0.3333 μB/atom. The value obtained for the theoretical density is 6.3 g cm⁻³. The space group is P-31c (163).

Most stable to least stable: *2*, *1*

*1*
Here is a relaxed structure of CrTcO2 from the Alexandria database. Energies are from GGA+U.

```
CrTcO2
1.0
2.128 5.867 1.759
4.241 4.903 0.090
1.922 6.096 -1.085
Tc O Cr
1 2 1
Cartesian
0.000 0.000 0.000
0.900 1.831 0.083
7.391 15.035 0.681
4.146 8.433 0.382
```

Summary:
For the spin magnetization, the calculation gives 0.8340 μB/atom. The value obtained for the theoretical density is 6.8 g cm⁻³. The space group is R-3m (166).

*2*
Here is a relaxed structure of CrTcO2 from the Alexandria database. Energies are from GGA+U.

```
CrTcO2
1.0
-1.178 -1.952 -3.060
-2.999 1.234 -2.011
0.510 1.443 -3.496
O Cr Tc
2 1 1
Cartesian
-2.751 0.544 -6.425
-0.917 0.181 -2.142
0.000 0.000 0.000
-1.834 0.363 -4.284
```

Summary:
For the spin magnetization, the calculation gives 0.2325 μB/atom. The value obtained for the theoretical density is 7.7 g cm⁻³. The space group is Fm-3m (225).

Most stable to least stable: *1*, *2*

*1*
Here is a relaxed structure of Cr3TcO from the Alexandria database. Energies are from GGA+U.

```
Cr3TcO
1.0
4.787 0.000 0.000
0.000 4.787 0.000
0.000 0.000 4.787
O Cr Tc
1 3 1
Cartesian
2.393 2.393 2.393
0.000 0.000 2.393
0.000 2.393 0.000
2.393 0.000 0.000
0.000 0.000 0.000
```

Summary:
For the spin magnetization, the calculation gives 2.1916 μB/atom. The value obtained for the theoretical density is 4.1 g cm⁻³. The space group is Pm-3m (221).

*2*
Here is a relaxed structure of Cr3TcO from the Alexandria database. Energies are from GGA+U.

```
Cr3TcO
1.0
4.185 0.000 0.000
0.000 4.185 0.000
0.000 0.000 4.185
O Cr Tc
1 3 1
Cartesian
0.000 0.000 0.000
0.000 0.000 2.093
0.000 2.093 0.000
2.093 0.000 0.000
2.093 2.093 2.093
```

Summary:
For the spin magnetization, the calculation gives 1.9409 μB/atom. The value obtained for the theoretical density is 6.1 g cm⁻³. The space group is Pm-3m (221).

Most stable to least stable: *2*, *1*